Density functional theory data (PBE) for a relaxed ZrScCrFe crystal.

Results
Energy   -32.7 eV/f.u.
DOS(E_F)   3.5 states/eV per cell
V   67 Å³/cell

Unit cell a=4.555 b=4.555 c=4.555 alpha=60.00 beta=60.00 gamma=60.00
Positions (direct):
Zr: 0.000 0.000 0.000
Sc: 0.500 0.500 0.500
Cr: 0.250 0.250 0.250
Fe: 0.750 0.750 0.750

Density functional theory data (PBE) for a relaxed TcBr2Cl crystal.

Results
Energy   -12.3 eV/f.u.
Formation energy without anion corrections   3.3 eV per formula unit
DOS(E_F)   4.3 states/eV per cell
V   98 Å³/cell

Unit cell a=4.984 b=4.984 c=3.950 alpha=90.00 beta=90.00 gamma=90.00
Positions (direct):
Tc: 0.000 0.000 0.000
Br: 0.000 0.500 0.500
Br: 0.500 0.000 0.500
Cl: 0.500 0.500 0.000

Density functional theory data (PBE) for a relaxed ScAlCo crystal.

Results
Energy   -17.4 eV/f.u.
DOS(E_F)   2.7 states/eV per cell
V   49 Å³/cell

Unit cell a=3.070 b=3.070 c=6.055 alpha=90.00 beta=90.00 gamma=120.00
Positions (direct):
Sc: 0.000 0.000 0.000
Al: 0.667 0.333 0.407
Co: 0.333 0.667 0.688